[1]
11
Lattice="5.950 0.000 1.781 2.975 5.384 0.890 -1.350 0.000 11.825" Properties=species:S:1:pos:R:3 comment="La2Pm6Er3 (PBE, relaxed)" final_energy_ev_per_fu=-50.22 spacegroup=C2/m volume_a3_per_cell=391.68 pbc="T T T"
Er 5.950 3.602 1.781
Er 0.000 0.000 0.000
Er 2.975 1.782 0.890
La 5.275 1.797 7.693
La 2.300 3.586 6.803
Pm 0.459 1.792 9.377
Pm 4.141 1.792 4.229
Pm 3.434 3.591 10.267
Pm 3.432 0.000 10.265
Pm 7.116 3.591 5.119
Pm 1.168 0.000 3.340

***

[2]
80
Lattice="16.732 0.000 0.000 -5.577 15.775 0.000 -5.577 -7.887 13.661" Properties=species:S:1:pos:R:3 comment="K12As3Br5 (PBE, relaxed)" final_energy_ev_per_fu=-54.13 spacegroup=Ia-3d e_form_raw_ev_per_atom=-0.932 volume_a3_per_cell=3605.74 pbc="T T T"
K 6.005 2.024 12.516
K -1.687 5.419 11.745
K 1.687 1.050 8.011
K 6.679 -1.050 8.011
K 2.361 -2.024 12.516
K 3.891 6.837 5.651
K 6.345 6.990 10.565
K -6.005 0.020 11.336
K 2.021 6.176 9.156
K 5.484 2.392 7.976
K -4.475 13.306 1.916
K -6.679 4.369 9.927
K 11.248 -3.728 8.747
K -2.361 -0.020 11.336
K -2.021 -0.814 6.060
K 2.882 -2.392 7.976
K -4.809 7.074 7.601
K 0.094 5.495 5.686
K 3.556 1.711 4.506
K -1.687 -4.369 9.927
K 2.361 2.004 12.481
K 7.938 7.908 2.325
K 10.387 0.814 6.060
K 8.460 14.007 0.771
K 7.264 12.256 3.735
K -0.428 9.891 1.180
K -5.671 11.615 4.915
K 3.216 9.911 1.145
K 7.264 2.469 1.916
K -0.428 5.864 1.145
K 4.809 -1.711 4.506
K 3.216 5.884 1.180
K 6.005 -2.004 12.481
K 9.134 -0.897 3.096
K 8.459 4.160 4.915
K 12.256 3.519 3.735
K -2.882 3.728 8.747
K -5.484 6.120 12.891
K -2.882 -6.120 12.891
K -1.102 8.937 5.651
K -0.768 0.897 3.096
K 2.695 10.280 5.686
K 11.582 7.867 2.325
K 10.052 -5.419 11.745
K 0.768 9.599 9.156
K 11.061 1.767 0.771
K -3.556 8.785 10.565
K 7.598 8.701 7.601
As 1.394 -0.986 5.123
As -4.183 2.958 11.954
As 4.183 8.873 8.538
As 4.183 0.000 10.246
As 6.972 0.986 5.123
As 9.760 10.845 1.708
As -4.183 -2.958 11.954
As 12.549 0.000 3.415
As -1.394 6.901 8.538
As 1.394 7.887 3.415
As -6.972 7.887 10.246
As 9.760 4.930 1.708
Br 6.972 3.944 10.246
Br -2.789 -3.944 6.831
Br -1.394 0.986 8.538
Br 4.183 11.831 3.415
Br 9.760 -0.986 8.538
Br -5.577 3.944 6.831
Br 1.394 4.930 11.954
Br 6.972 -4.930 11.954
Br 6.972 6.901 5.123
Br -2.789 7.887 0.000
Br -1.394 12.817 1.708
Br 0.000 0.000 0.000
Br 1.394 -3.944 10.246
Br -1.394 3.944 3.415
Br 5.577 -3.944 6.831
Br 4.183 2.958 1.708
Br 8.366 0.000 0.000
Br 2.789 3.944 6.831
Br 5.577 7.887 0.000
Br -4.183 8.873 5.123

***

[3]
18
Lattice="6.865 0.000 0.000 -3.432 5.945 0.000 0.000 0.000 12.846" Properties=species:S:1:pos:R:3 comment="SrLiUCl6 (PBE, relaxed)" final_energy_ev_per_fu=-43.52 spacegroup=P-31c e_form_raw_ev_per_atom=-1.951 volume_a3_per_cell=524.29 pbc="T T T"
Cl 1.032 5.857 4.722
Cl 1.277 2.034 11.145
Cl 5.588 2.034 8.124
Cl 4.556 3.822 11.145
Cl 1.124 2.123 4.722
Cl -1.032 5.857 1.701
Cl 4.465 0.088 11.145
Cl 2.156 3.911 1.701
Cl -1.124 2.123 1.701
Cl 2.400 0.088 8.124
Cl -2.156 3.911 4.722
Cl 2.309 3.822 8.124
Sr 0.000 0.000 0.000
Sr 0.000 0.000 6.423
U 0.000 3.963 9.635
U 3.432 1.982 3.212
Li 3.432 1.982 9.635
Li 0.000 3.963 3.212

***

[4]
5
Lattice="5.003 0.000 0.000 0.000 4.787 0.000 0.000 0.000 5.003" Properties=species:S:1:pos:R:3 comment="Hf2FePtW (PBE, relaxed)" final_energy_ev_per_fu=-41.49 spacegroup=P4/mmm volume_a3_per_cell=119.80 pbc="T T T"
W 0.000 2.394 0.000
Hf 2.501 0.000 0.000
Hf 0.000 0.000 2.501
Fe 2.501 2.394 2.501
Pt 0.000 0.000 0.000

***

Question: Number 4 is which compound?
Answer: Hf2FePtW